[1]
# MgSc2TiH | Alexandria via LeMat-Bulk | GGA-PBE | optimized geometry
data_MgSc2TiH
_chemical_formula_sum 'Mg1 Sc2 Ti1 H1'
_cell_length_a 4.596
_cell_length_b 4.596
_cell_length_c 4.151
_cell_angle_alpha 90.00
_cell_angle_beta 90.00
_cell_angle_gamma 90.00
_symmetry_space_group_name_H-M 'P 1'
_symmetry_Int_Tables_number 1
loop_
_symmetry_equiv_pos_as_xyz
'x,y,z'
loop_
_atom_site_label
_atom_site_type_symbol
_atom_site_fract_x
_atom_site_fract_y
_atom_site_fract_z
_atom_site_occupancy
Sc1 Sc 0.500 0.000 0.000 1
H1 H 0.000 0.000 0.000 1
Sc2 Sc 0.000 0.500 0.000 1
Ti1 Ti 0.000 0.000 0.500 1
Mg1 Mg 0.500 0.500 0.500 1
# Density of states at the Fermi level, states/eV per atom: 1.0581
# ΔE to the lowest computed polymorph, eV/atom: 0.000
# E_tot, eV/atom: -5.177


[2]
# AcNdDy3Ho | Alexandria via LeMat-Bulk | GGA-PBE | optimized geometry
data_AcNdDy3Ho
_chemical_formula_sum 'Ac2 Nd2 Dy6 Ho2'
_cell_length_a 5.707
_cell_length_b 10.176
_cell_length_c 7.557
_cell_angle_alpha 91.13
_cell_angle_beta 90.00
_cell_angle_gamma 106.28
_symmetry_space_group_name_H-M 'P 1'
_symmetry_Int_Tables_number 1
loop_
_symmetry_equiv_pos_as_xyz
'x,y,z'
loop_
_atom_site_label
_atom_site_type_symbol
_atom_site_fract_x
_atom_site_fract_y
_atom_site_fract_z
_atom_site_occupancy
Ac1 Ac 0.358 0.717 0.976 1
Nd1 Nd 0.951 0.902 0.714 1
Nd2 Nd 0.049 0.098 0.286 1
Ac2 Ac 0.642 0.283 0.024 1
Ho1 Ho 0.653 0.307 0.454 1
Dy1 Dy 0.219 0.438 0.249 1
Dy2 Dy 0.523 0.047 0.708 1
Dy3 Dy 0.781 0.562 0.751 1
Dy4 Dy 0.166 0.332 0.715 1
Ho2 Ho 0.347 0.693 0.546 1
Dy5 Dy 0.477 0.953 0.292 1
Dy6 Dy 0.834 0.668 0.285 1
# Density of states at the Fermi level, states/eV per atom: 1.6301
# E_tot, eV/atom: -4.316
# DFT formation energy, meV per atom: 227


[3]
# Rb2LiNpO6 | Alexandria via LeMat-Bulk | GGA-PBE | optimized geometry
data_Rb2LiNpO6
_chemical_formula_sum 'Rb2 Li1 Np1 O6'
_cell_length_a 6.061
_cell_length_b 6.062
_cell_length_c 6.069
_cell_angle_alpha 59.78
_cell_angle_beta 59.79
_cell_angle_gamma 89.55
_symmetry_space_group_name_H-M 'P 1'
_symmetry_Int_Tables_number 1
loop_
_symmetry_equiv_pos_as_xyz
'x,y,z'
loop_
_atom_site_label
_atom_site_type_symbol
_atom_site_fract_x
_atom_site_fract_y
_atom_site_fract_z
_atom_site_occupancy
O1 O 0.269 0.269 0.462 1
Rb1 Rb 0.750 0.250 0.500 1
Np1 Np 0.500 0.500 0.000 1
Li1 Li 0.000 0.000 0.000 1
O2 O 0.730 0.729 0.000 1
Rb2 Rb 0.250 0.750 0.500 1
O3 O 0.732 0.268 0.000 1
O4 O 0.731 0.731 0.538 1
O5 O 0.270 0.271 0.000 1
O6 O 0.268 0.732 0.000 1
# Density of states at the Fermi level, states/eV per atom: 0.6318
# Raw formation energy, eV per formula unit: -18.825
# E_tot, eV/atom: -6.536


[4]
# PmErMgAl | Alexandria via LeMat-Bulk | GGA-PBE | optimized geometry
data_PmErMgAl
_chemical_formula_sum 'Pm1 Er1 Mg1 Al1'
_cell_length_a 5.241
_cell_length_b 5.241
_cell_length_c 5.241
_cell_angle_alpha 60.00
_cell_angle_beta 60.00
_cell_angle_gamma 60.00
_symmetry_space_group_name_H-M 'P 1'
_symmetry_Int_Tables_number 1
loop_
_symmetry_equiv_pos_as_xyz
'x,y,z'
loop_
_atom_site_label
_atom_site_type_symbol
_atom_site_fract_x
_atom_site_fract_y
_atom_site_fract_z
_atom_site_occupancy
Pm1 Pm 0.750 0.750 0.750 1
Er1 Er 0.250 0.250 0.250 1
Al1 Al 0.000 0.000 0.000 1
Mg1 Mg 0.500 0.500 0.500 1
# Density of states at the Fermi level, states/eV per atom: 0.5491
# E_tot, eV/atom: -3.927
# DFT formation energy, meV per atom: -265


[5]
# Pr3Sb5Pt6 | Alexandria via LeMat-Bulk | GGA-PBE | optimized geometry
data_Pr3Sb5Pt6
_chemical_formula_sum 'Pr6 Sb10 Pt12'
_cell_length_a 4.472
_cell_length_b 10.317
_cell_length_c 13.517
_cell_angle_alpha 90.00
_cell_angle_beta 90.00
_cell_angle_gamma 90.00
_symmetry_space_group_name_H-M 'P 1'
_symmetry_Int_Tables_number 1
loop_
_symmetry_equiv_pos_as_xyz
'x,y,z'
loop_
_atom_site_label
_atom_site_type_symbol
_atom_site_fract_x
_atom_site_fract_y
_atom_site_fract_z
_atom_site_occupancy
Pr1 Pr 0.500 0.748 0.173 1
Sb1 Sb 0.000 0.513 0.864 1
Pt1 Pt 0.000 0.986 0.138 1
Pr2 Pr 0.500 0.748 0.827 1
Pr3 Pr 0.500 0.758 0.500 1
Sb2 Sb 0.500 0.487 0.364 1
Sb3 Sb 0.500 0.119 0.176 1
Sb4 Sb 0.500 0.487 0.636 1
Pt2 Pt 0.000 0.626 0.677 1
Pt3 Pt 0.500 0.986 0.000 1
Sb5 Sb 0.500 0.202 0.500 1
Pt4 Pt 0.000 0.481 0.500 1
Pt5 Pt 0.000 0.014 0.500 1
Sb6 Sb 0.000 0.881 0.324 1
Sb7 Sb 0.000 0.798 0.000 1
Pt6 Pt 0.000 0.986 0.862 1
Pr4 Pr 0.000 0.242 0.000 1
Sb8 Sb 0.000 0.513 0.136 1
Sb9 Sb 0.500 0.119 0.824 1
Pt7 Pt 0.500 0.014 0.362 1
Pt8 Pt 0.500 0.374 0.823 1
Pr5 Pr 0.000 0.252 0.327 1
Pt9 Pt 0.500 0.014 0.638 1
Pt10 Pt 0.500 0.519 0.000 1
Pt11 Pt 0.000 0.626 0.323 1
Pr6 Pr 0.000 0.252 0.673 1
Pt12 Pt 0.500 0.374 0.177 1
Sb10 Sb 0.000 0.881 0.676 1
# Density of states at the Fermi level, states/eV per atom: 0.5157
# Raw formation energy, eV per formula unit: -12.156
# E_tot, eV/atom: -5.954


[6]
# Nd5YTm2Th | Alexandria via LeMat-Bulk | GGA-PBE | optimized geometry
data_Nd5YTm2Th
_chemical_formula_sum 'Nd10 Y2 Tm4 Th2'
_cell_length_a 5.415
_cell_length_b 11.149
_cell_length_c 10.615
_cell_angle_alpha 90.00
_cell_angle_beta 90.00
_cell_angle_gamma 104.06
_symmetry_space_group_name_H-M 'P 1'
_symmetry_Int_Tables_number 1
loop_
_symmetry_equiv_pos_as_xyz
'x,y,z'
loop_
_atom_site_label
_atom_site_type_symbol
_atom_site_fract_x
_atom_site_fract_y
_atom_site_fract_z
_atom_site_occupancy
Nd1 Nd 0.625 0.250 0.508 1
Nd2 Nd 0.500 0.000 0.258 1
Nd3 Nd 0.278 0.556 0.315 1
Tm1 Tm 0.887 0.774 0.754 1
Tm2 Tm 0.113 0.226 0.254 1
Nd4 Nd 0.375 0.750 0.008 1
Tm3 Tm 0.887 0.774 0.263 1
Th1 Th 0.214 0.428 0.008 1
Nd5 Nd 0.500 0.000 0.758 1
Nd6 Nd 0.722 0.444 0.202 1
Y1 Y 0.398 0.797 0.508 1
Nd7 Nd 0.003 0.006 0.508 1
Nd8 Nd 0.722 0.444 0.815 1
Nd9 Nd 0.278 0.556 0.702 1
Tm4 Tm 0.113 0.226 0.763 1
Th2 Th 0.786 0.572 0.508 1
Nd10 Nd 0.997 0.994 0.008 1
Y2 Y 0.602 0.203 0.008 1
# Density of states at the Fermi level, states/eV per atom: 1.4384
# E_tot, eV/atom: -5.040
# DFT formation energy, meV per atom: 145


[7]
# AcTb2Er4 | Alexandria via LeMat-Bulk | GGA-PBE | optimized geometry
data_AcTb2Er4
_chemical_formula_sum 'Ac2 Tb4 Er8'
_cell_length_a 8.490
_cell_length_b 9.654
_cell_length_c 9.278
_cell_angle_alpha 137.82
_cell_angle_beta 114.26
_cell_angle_gamma 76.31
_symmetry_space_group_name_H-M 'P 1'
_symmetry_Int_Tables_number 1
loop_
_symmetry_equiv_pos_as_xyz
'x,y,z'
loop_
_atom_site_label
_atom_site_type_symbol
_atom_site_fract_x
_atom_site_fract_y
_atom_site_fract_z
_atom_site_occupancy
Er1 Er 0.328 0.607 0.169 1
Er2 Er 0.749 0.739 0.595 1
Ac1 Ac 0.143 0.647 0.484 1
Tb1 Tb 0.698 0.514 0.051 1
Er3 Er 0.185 0.892 0.036 1
Er4 Er 0.849 0.214 0.189 1
Er5 Er 0.571 0.792 0.908 1
Er6 Er 0.992 0.929 0.321 1
Er7 Er 0.430 0.082 0.763 1
Ac2 Ac 0.036 0.175 0.874 1
Er8 Er 0.896 0.461 0.733 1
Tb2 Tb 0.609 0.029 0.447 1
Tb3 Tb 0.480 0.308 0.306 1
Tb4 Tb 0.282 0.362 0.625 1
# Density of states at the Fermi level, states/eV per atom: 1.6832
# ΔE to the lowest computed polymorph, eV/atom: 0.000
# E_tot, eV/atom: -4.483
# DFT formation energy, meV per atom: 34


[8]
# TiCdTe2I | Alexandria via LeMat-Bulk | GGA-PBE | optimized geometry
data_TiCdTe2I
_chemical_formula_sum 'Ti1 Cd1 Te2 I1'
_cell_length_a 5.320
_cell_length_b 5.320
_cell_length_c 5.774
_cell_angle_alpha 90.00
_cell_angle_beta 90.00
_cell_angle_gamma 90.00
_symmetry_space_group_name_H-M 'P 1'
_symmetry_Int_Tables_number 1
loop_
_symmetry_equiv_pos_as_xyz
'x,y,z'
loop_
_atom_site_label
_atom_site_type_symbol
_atom_site_fract_x
_atom_site_fract_y
_atom_site_fract_z
_atom_site_occupancy
Ti1 Ti 0.000 0.000 0.000 1
I1 I 0.000 0.000 0.500 1
Te1 Te 0.500 0.000 0.000 1
Cd1 Cd 0.500 0.500 0.500 1
Te2 Te 0.000 0.500 0.000 1
# Density of states at the Fermi level, states/eV per atom: 0.6828
# Raw formation energy, eV per formula unit: -0.768
# ΔE to the lowest computed polymorph, eV/atom: 0.000
# E_tot, eV/atom: -3.482